Compound: ScCo2Ru
Source: Alexandria via LeMat-Bulk
Functional: GGA-PBE
Structure: optimized geometry

Geometry as extended XYZ:
```
4
Lattice="-0.5162 -0.2277 -4.0823 -1.5017 -2.2722 0.3166 -4.8387 1.6520 0.5198" Properties=species:S:1:pos:R:3 pbc="T T T"
Ru -1.8432 -0.2689 -1.8320
Co -3.0652 -0.3304 0.4061
Co -0.1049 0.0203 0.0121
Sc -5.0134 -0.5790 -1.4138
```

Computed properties:
- E above lowest polymorph: 14.1 kJ/mol of atoms